# Cu2SiO

A geometry-optimized Cu2SiO structure (PBE, Alexandria via LeMat-Bulk).

Geometry as CIF:
```
data_Cu2SiO
_cell_length_a 5.7352
_cell_length_b 5.7352
_cell_length_c 5.7352
_cell_angle_alpha 90.00
_cell_angle_beta 90.00
_cell_angle_gamma 90.00
_space_group_name_H-M_alt 'F m -3 m'
_space_group_IT_number 225
_space_group_name_Hall '-F 4 2 3'
loop_
_atom_site_label
_atom_site_type_symbol
_atom_site_fract_x
_atom_site_fract_y
_atom_site_fract_z
Cu1 Cu 0.2500 0.2500 0.2500
Si1 Si 0.0000 0.0000 0.0000
O1 O 0.0000 0.0000 0.5000
```

## Properties
- calculated total energy (eV/atom) = -4.378

=====

# HoThMnAl

A geometry-optimized HoThMnAl structure (PBE, Alexandria via LeMat-Bulk).

Geometry as CIF:
```
data_HoThMnAl
_cell_length_a 7.2392
_cell_length_b 7.2392
_cell_length_c 7.2392
_cell_angle_alpha 90.00
_cell_angle_beta 90.00
_cell_angle_gamma 90.00
_space_group_name_H-M_alt 'F -4 3 m'
_space_group_IT_number 216
_space_group_name_Hall 'F -4 2 3'
loop_
_atom_site_label
_atom_site_type_symbol
_atom_site_fract_x
_atom_site_fract_y
_atom_site_fract_z
Ho1 Ho 0.0000 0.0000 0.0000
Th1 Th 0.0000 0.0000 0.5000
Mn1 Mn 0.2500 0.2500 0.2500
Al1 Al 0.2500 0.2500 0.7500
```

## Properties
- energy relative to the elements (eV/atom) = -0.0049

=====

# Be4W

A geometry-optimized Be4W structure (PBE, Alexandria via LeMat-Bulk).

Geometry as CIF:
```
data_Be4W
_cell_length_a 5.2276
_cell_length_b 5.2276
_cell_length_c 3.5863
_cell_angle_alpha 90.00
_cell_angle_beta 90.00
_cell_angle_gamma 90.00
_space_group_name_H-M_alt 'I 4/m m m'
_space_group_IT_number 139
_space_group_name_Hall '-I 4 2'
loop_
_atom_site_label
_atom_site_type_symbol
_atom_site_fract_x
_atom_site_fract_y
_atom_site_fract_z
Be1 Be 0.0000 0.3086 0.0000
W1 W 0.0000 0.0000 0.5000
```

## Properties
- energy relative to the elements (eV/atom) = 0.1788

=====

# MgZnNi2

A geometry-optimized MgZnNi2 structure (PBE, Alexandria via LeMat-Bulk).

Geometry as CIF:
```
data_MgZnNi2
_cell_length_a 3.6858
_cell_length_b 3.6858
_cell_length_c 7.6812
_cell_angle_alpha 90.00
_cell_angle_beta 90.00
_cell_angle_gamma 90.00
_space_group_name_H-M_alt 'I -4 m 2'
_space_group_IT_number 119
_space_group_name_Hall 'I -4 -2'
loop_
_atom_site_label
_atom_site_type_symbol
_atom_site_fract_x
_atom_site_fract_y
_atom_site_fract_z
Mg1 Mg 0.0000 0.0000 0.0000
Zn1 Zn 0.0000 0.5000 0.2500
Ni1 Ni 0.0000 0.0000 0.5000
Ni2 Ni 0.0000 0.5000 0.7500
```

## Properties
- energy relative to the elements (eV/atom) = -0.1424

=====

# YLuGa

A geometry-optimized YLuGa structure (PBE, Alexandria via LeMat-Bulk).

Geometry as CIF:
```
data_YLuGa
_cell_length_a 4.9301
_cell_length_b 4.9301
_cell_length_c 3.6536
_cell_angle_alpha 90.00
_cell_angle_beta 90.00
_cell_angle_gamma 120.00
_space_group_name_H-M_alt 'P 3 m 1'
_space_group_IT_number 156
loop_
_space_group_symop_operation_xyz
'x,y,z'
'-y,x-y,z'
'-x+y,-x,z'
'-y,-x,z'
'-x+y,y,z'
'x,x-y,z'
loop_
_atom_site_label
_atom_site_type_symbol
_atom_site_fract_x
_atom_site_fract_y
_atom_site_fract_z
Y1 Y 0.0000 0.0000 0.0000
Lu1 Lu 0.3333 0.6667 0.4717
Ga1 Ga 0.6667 0.3333 0.6546
```

## Properties
- energy relative to the elements (eV/atom) = -0.2767

=====

# ScTcBr4

A geometry-optimized ScTcBr4 structure (PBE, Alexandria via LeMat-Bulk).

Geometry as CIF:
```
data_ScTcBr4
_cell_length_a 8.7092
_cell_length_b 8.7092
_cell_length_c 8.7092
_cell_angle_alpha 90.00
_cell_angle_beta 90.00
_cell_angle_gamma 90.00
_space_group_name_H-M_alt 'F -4 3 m'
_space_group_IT_number 216
_space_group_name_Hall 'F -4 2 3'
loop_
_atom_site_label
_atom_site_type_symbol
_atom_site_fract_x
_atom_site_fract_y
_atom_site_fract_z
Sc1 Sc 0.0000 0.0000 0.0000
Tc1 Tc 0.2500 0.2500 0.7500
Br1 Br 0.1247 0.1247 0.3753
```

## Properties
- calculated total energy (eV/atom) = -2.954